Record 1
# PBE-GGA NaPd8, relaxed
data_NaPd8
_chemical_formula_sum 'Na2 Pd16'
_symmetry_space_group_name_H-M 'I m m m'
_symmetry_Int_Tables_number 71
_symmetry_space_group_name_Hall '-I 2 2'
_cell_length_a 2.7629
_cell_length_b 8.3874
_cell_length_c 12.1797
_cell_angle_alpha 90.00
_cell_angle_beta 90.00
_cell_angle_gamma 90.00
loop_
_atom_site_label
_atom_site_type_symbol
_atom_site_fract_x
_atom_site_fract_y
_atom_site_fract_z
Na1 Na 0.0000 0.0000 0.0000
Pd1 Pd 0.0000 0.0000 0.3335
Pd2 Pd 0.0000 0.3325 0.0000
Pd3 Pd 0.0000 0.3333 0.3315
# DFT formation energy ... -0.001 eV/atom



Record 2
# PBE-GGA NaPd, relaxed
data_NaPd
_chemical_formula_sum 'Na8 Pd8'
_symmetry_space_group_name_H-M 'P 21 21 21'
_symmetry_Int_Tables_number 19
_symmetry_space_group_name_Hall 'P 2ac 2ab'
_cell_length_a 5.0624
_cell_length_b 7.5838
_cell_length_c 8.0611
_cell_angle_alpha 90.00
_cell_angle_beta 90.00
_cell_angle_gamma 90.00
loop_
_atom_site_label
_atom_site_type_symbol
_atom_site_fract_x
_atom_site_fract_y
_atom_site_fract_z
Na1 Na 0.1450 0.2472 0.2159
Na2 Na 0.1659 0.4376 0.9068
Pd1 Pd 0.1455 0.0420 0.8840
Pd2 Pd 0.1682 0.2305 0.5824
# DFT formation energy ... -0.031 eV/atom



Record 3
# PBE-GGA NaPd, relaxed
data_NaPd
_chemical_formula_sum 'Na6 Pd6'
_symmetry_space_group_name_H-M 'P m -3 n'
_symmetry_Int_Tables_number 223
_symmetry_space_group_name_Hall '-P 4n 2 3'
_cell_length_a 7.7751
_cell_length_b 7.7751
_cell_length_c 7.7751
_cell_angle_alpha 90.00
_cell_angle_beta 90.00
_cell_angle_gamma 90.00
loop_
_atom_site_label
_atom_site_type_symbol
_atom_site_fract_x
_atom_site_fract_y
_atom_site_fract_z
Na1 Na 0.0000 0.2500 0.5000
Pd1 Pd 0.0000 0.5000 0.2500
# DFT formation energy ... 0.831 eV/atom



Record 4
# PBE-GGA NaPd, relaxed
data_NaPd
_chemical_formula_sum 'Na4 Pd4'
_symmetry_space_group_name_H-M 'F m -3 m'
_symmetry_Int_Tables_number 225
_symmetry_space_group_name_Hall '-F 4 2 3'
_cell_length_a 5.5729
_cell_length_b 5.5729
_cell_length_c 5.5729
_cell_angle_alpha 90.00
_cell_angle_beta 90.00
_cell_angle_gamma 90.00
loop_
_atom_site_label
_atom_site_type_symbol
_atom_site_fract_x
_atom_site_fract_y
_atom_site_fract_z
Na1 Na 0.0000 0.0000 0.0000
Pd1 Pd 0.0000 0.0000 0.5000
# DFT formation energy ... 0.387 eV/atom



Record 5
# PBE-GGA NaPd, relaxed
data_NaPd
_chemical_formula_sum 'Na8 Pd8'
_symmetry_space_group_name_H-M 'I 4/m'
_symmetry_Int_Tables_number 87
_symmetry_space_group_name_Hall '-I 4'
_cell_length_a 10.9235
_cell_length_b 10.9235
_cell_length_c 2.8661
_cell_angle_alpha 90.00
_cell_angle_beta 90.00
_cell_angle_gamma 90.00
loop_
_atom_site_label
_atom_site_type_symbol
_atom_site_fract_x
_atom_site_fract_y
_atom_site_fract_z
Na1 Na 0.1267 0.8132 0.0000
Pd1 Pd 0.0683 0.3640 0.0000
# DFT formation energy ... 0.006 eV/atom



Record 6
# PBE-GGA NaPd, relaxed
data_NaPd
_chemical_formula_sum 'Na8 Pd8'
_symmetry_space_group_name_H-M 'I -4 3 m'
_symmetry_Int_Tables_number 217
_symmetry_space_group_name_Hall 'I -4 2 3'
_cell_length_a 8.5859
_cell_length_b 8.5859
_cell_length_c 8.5859
_cell_angle_alpha 90.00
_cell_angle_beta 90.00
_cell_angle_gamma 90.00
loop_
_atom_site_label
_atom_site_type_symbol
_atom_site_fract_x
_atom_site_fract_y
_atom_site_fract_z
Na1 Na 0.2008 0.2008 0.2008
Pd1 Pd 0.1120 0.1120 0.8880
# DFT formation energy ... 0.454 eV/atom



Record 7
# PBE-GGA NaPmPd2, relaxed
data_NaPmPd2
_chemical_formula_sum 'Na1 Pm1 Pd2'
_symmetry_space_group_name_H-M 'P 4/m m m'
_symmetry_Int_Tables_number 123
_symmetry_space_group_name_Hall '-P 4 2'
_cell_length_a 3.5096
_cell_length_b 3.5096
_cell_length_c 7.1813
_cell_angle_alpha 90.00
_cell_angle_beta 90.00
_cell_angle_gamma 90.00
loop_
_atom_site_label
_atom_site_type_symbol
_atom_site_fract_x
_atom_site_fract_y
_atom_site_fract_z
Na1 Na 0.0000 0.0000 0.0000
Pm1 Pm 0.0000 0.0000 0.5000
Pd1 Pd 0.5000 0.5000 0.2641
# DFT formation energy ... -0.464 eV/atom



Record 8
# PBE-GGA NaPmPd2, relaxed
data_NaPmPd2
_chemical_formula_sum 'Na1 Pm1 Pd2'
_symmetry_space_group_name_H-M 'P 4/m m m'
_symmetry_Int_Tables_number 123
_symmetry_space_group_name_Hall '-P 4 2'
_cell_length_a 4.6800
_cell_length_b 4.6800
_cell_length_c 3.8087
_cell_angle_alpha 90.00
_cell_angle_beta 90.00
_cell_angle_gamma 90.00
loop_
_atom_site_label
_atom_site_type_symbol
_atom_site_fract_x
_atom_site_fract_y
_atom_site_fract_z
Na1 Na 0.0000 0.0000 0.0000
Pm1 Pm 0.5000 0.5000 0.0000
Pd1 Pd 0.0000 0.5000 0.5000
# DFT formation energy ... -0.430 eV/atom



Record 9
# PBE-GGA NaPmPd, relaxed
data_NaPmPd
_chemical_formula_sum 'Na6 Pm6 Pd6'
_symmetry_space_group_name_H-M 'R -3 m'
_symmetry_Int_Tables_number 166
_symmetry_space_group_name_Hall '-R 3 2"'
_cell_length_a 4.8693
_cell_length_b 4.8693
_cell_length_c 24.8290
_cell_angle_alpha 90.00
_cell_angle_beta 90.00
_cell_angle_gamma 120.00
loop_
_atom_site_label
_atom_site_type_symbol
_atom_site_fract_x
_atom_site_fract_y
_atom_site_fract_z
Na1 Na 0.0000 0.0000 0.1341
Pm1 Pm 0.0000 0.0000 0.2893
Pd1 Pd 0.0000 0.0000 0.4089
# DFT formation energy ... -0.273 eV/atom



Record 10
# PBE-GGA NaPm2Pd9, relaxed
data_NaPm2Pd9
_chemical_formula_sum 'Na1 Pm2 Pd9'
_symmetry_space_group_name_H-M 'P 4/m m m'
_symmetry_Int_Tables_number 123
_symmetry_space_group_name_Hall '-P 4 2'
_cell_length_a 4.1857
_cell_length_b 4.1857
_cell_length_c 12.1411
_cell_angle_alpha 90.00
_cell_angle_beta 90.00
_cell_angle_gamma 90.00
loop_
_atom_site_label
_atom_site_type_symbol
_atom_site_fract_x
_atom_site_fract_y
_atom_site_fract_z
Na1 Na 0.0000 0.0000 0.0000
Pm1 Pm 0.0000 0.0000 0.3268
Pd1 Pd 0.0000 0.5000 0.1595
Pd2 Pd 0.0000 0.5000 0.5000
Pd3 Pd 0.5000 0.5000 0.0000
Pd4 Pd 0.5000 0.5000 0.3292
# DFT formation energy ... -0.527 eV/atom



Record 11
# PBE-GGA Na2PmPd9, relaxed
data_Na2PmPd9
_chemical_formula_sum 'Na6 Pm3 Pd27'
_symmetry_space_group_name_H-M 'R -3 m'
_symmetry_Int_Tables_number 166
_symmetry_space_group_name_Hall '-R 3 2"'
_cell_length_a 5.3540
_cell_length_b 5.3540
_cell_length_c 26.7562
_cell_angle_alpha 90.00
_cell_angle_beta 90.00
_cell_angle_gamma 120.00
loop_
_atom_site_label
_atom_site_type_symbol
_atom_site_fract_x
_atom_site_fract_y
_atom_site_fract_z
Na1 Na 0.0000 0.0000 0.1449
Pm1 Pm 0.0000 0.0000 0.0000
Pd1 Pd 0.0000 0.0000 0.3331
Pd2 Pd 0.0000 0.0000 0.5000
Pd3 Pd 0.0018 0.5009 0.9158
# DFT formation energy ... -0.328 eV/atom



Record 12
# PBE-GGA NaPm3Pd8, relaxed
data_NaPm3Pd8
_chemical_formula_sum 'Na3 Pm9 Pd24'
_symmetry_space_group_name_H-M 'R 3 m'
_symmetry_Int_Tables_number 160
_symmetry_space_group_name_Hall 'R 3 -2"'
_cell_length_a 5.4823
_cell_length_b 5.4823
_cell_length_c 26.8136
_cell_angle_alpha 90.00
_cell_angle_beta 90.00
_cell_angle_gamma 120.00
loop_
_atom_site_label
_atom_site_type_symbol
_atom_site_fract_x
_atom_site_fract_y
_atom_site_fract_z
Na1 Na 0.0000 0.0000 0.0000
Pm1 Pm 0.0000 0.0000 0.1216
Pm2 Pm 0.0000 0.0000 0.5064
Pm3 Pm 0.0000 0.0000 0.6352
Pd1 Pd 0.0000 0.0000 0.3163
Pd2 Pd 0.0000 0.0000 0.8163
Pd3 Pd 0.0030 0.5015 0.0672
Pd4 Pd 0.1677 0.3354 0.8986
# DFT formation energy ... -0.678 eV/atom



Record 13
# PBE-GGA NaPm2Pd, relaxed
data_NaPm2Pd
_chemical_formula_sum 'Na3 Pm6 Pd3'
_symmetry_space_group_name_H-M 'R -3 m'
_symmetry_Int_Tables_number 166
_symmetry_space_group_name_Hall '-R 3 2"'
_cell_length_a 3.4062
_cell_length_b 3.4062
_cell_length_c 35.4645
_cell_angle_alpha 90.00
_cell_angle_beta 90.00
_cell_angle_gamma 120.00
loop_
_atom_site_label
_atom_site_type_symbol
_atom_site_fract_x
_atom_site_fract_y
_atom_site_fract_z
Na1 Na 0.0000 0.0000 0.0000
Pm1 Pm 0.0000 0.0000 0.4250
Pd1 Pd 0.0000 0.0000 0.5000
# Excess energy over the best structure of this formula in the dataset ... 0.458 eV per atom
# DFT formation energy ... 0.184 eV/atom



Record 14
# PBE-GGA NaPmPd2, relaxed
data_NaPmPd2
_chemical_formula_sum 'Na3 Pm3 Pd6'
_symmetry_space_group_name_H-M 'R -3 m'
_symmetry_Int_Tables_number 166
_symmetry_space_group_name_Hall '-R 3 2"'
_cell_length_a 3.7923
_cell_length_b 3.7923
_cell_length_c 23.4459
_cell_angle_alpha 90.00
_cell_angle_beta 90.00
_cell_angle_gamma 120.00
loop_
_atom_site_label
_atom_site_type_symbol
_atom_site_fract_x
_atom_site_fract_y
_atom_site_fract_z
Na1 Na 0.0000 0.0000 0.0000
Pm1 Pm 0.0000 0.0000 0.5000
Pd1 Pd 0.0000 0.0000 0.2453
# DFT formation energy ... -0.297 eV/atom



Record 15
# PBE-GGA NaPmPd4, relaxed
data_NaPmPd4
_chemical_formula_sum 'Na4 Pm4 Pd16'
_symmetry_space_group_name_H-M 'F -4 3 m'
_symmetry_Int_Tables_number 216
_symmetry_space_group_name_Hall 'F -4 2 3'
_cell_length_a 7.6851
_cell_length_b 7.6851
_cell_length_c 7.6851
_cell_angle_alpha 90.00
_cell_angle_beta 90.00
_cell_angle_gamma 90.00
loop_
_atom_site_label
_atom_site_type_symbol
_atom_site_fract_x
_atom_site_fract_y
_atom_site_fract_z
Na1 Na 0.0000 0.0000 0.0000
Pm1 Pm 0.2500 0.2500 0.7500
Pd1 Pd 0.1251 0.1251 0.3749
# DFT formation energy ... -0.562 eV/atom



Record 16
# PBE-GGA NaPm2Pd, relaxed
data_NaPm2Pd
_chemical_formula_sum 'Na1 Pm2 Pd1'
_symmetry_space_group_name_H-M 'P 4/m m m'
_symmetry_Int_Tables_number 123
_symmetry_space_group_name_Hall '-P 4 2'
_cell_length_a 3.5850
_cell_length_b 3.5850
_cell_length_c 9.3384
_cell_angle_alpha 90.00
_cell_angle_beta 90.00
_cell_angle_gamma 90.00
loop_
_atom_site_label
_atom_site_type_symbol
_atom_site_fract_x
_atom_site_fract_y
_atom_site_fract_z
Na1 Na 0.0000 0.0000 0.0000
Pm1 Pm 0.5000 0.5000 0.3161
Pd1 Pd 0.0000 0.0000 0.5000
# Excess energy over the best structure of this formula in the dataset ... 0.000 eV per atom
# DFT formation energy ... -0.274 eV/atom



Record 17
# PBE-GGA Na2Pm2Pd15, relaxed
data_Na2Pm2Pd15
_chemical_formula_sum 'Na6 Pm6 Pd45'
_symmetry_space_group_name_H-M 'R -3 m'
_symmetry_Int_Tables_number 166
_symmetry_space_group_name_Hall '-R 3 2"'
_cell_length_a 9.2435
_cell_length_b 9.2435
_cell_length_c 13.7359
_cell_angle_alpha 90.00
_cell_angle_beta 90.00
_cell_angle_gamma 120.00
loop_
_atom_site_label
_atom_site_type_symbol
_atom_site_fract_x
_atom_site_fract_y
_atom_site_fract_z
Na1 Na 0.0000 0.0000 0.0920
Pm1 Pm 0.0000 0.0000 0.3495
Pd1 Pd 0.0000 0.3260 0.0000
Pd2 Pd 0.0000 0.5000 0.5000
Pd3 Pd 0.0058 0.5029 0.1623
# DFT formation energy ... -0.363 eV/atom



Record 18
# PBE-GGA NaPmPdRh, relaxed
data_NaPmPdRh
_chemical_formula_sum 'Na4 Pm4 Pd4 Rh4'
_symmetry_space_group_name_H-M 'F -4 3 m'
_symmetry_Int_Tables_number 216
_symmetry_space_group_name_Hall 'F -4 2 3'
_cell_length_a 6.8475
_cell_length_b 6.8475
_cell_length_c 6.8475
_cell_angle_alpha 90.00
_cell_angle_beta 90.00
_cell_angle_gamma 90.00
loop_
_atom_site_label
_atom_site_type_symbol
_atom_site_fract_x
_atom_site_fract_y
_atom_site_fract_z
Na1 Na 0.0000 0.0000 0.0000
Pm1 Pm 0.0000 0.0000 0.5000
Pd1 Pd 0.2500 0.2500 0.2500
Rh1 Rh 0.2500 0.2500 0.7500
# DFT formation energy ... -0.308 eV/atom



Record 19
# PBE-GGA NaPmSbPd, relaxed
data_NaPmSbPd
_chemical_formula_sum 'Na4 Pm4 Sb4 Pd4'
_symmetry_space_group_name_H-M 'F -4 3 m'
_symmetry_Int_Tables_number 216
_symmetry_space_group_name_Hall 'F -4 2 3'
_cell_length_a 7.2889
_cell_length_b 7.2889
_cell_length_c 7.2889
_cell_angle_alpha 90.00
_cell_angle_beta 90.00
_cell_angle_gamma 90.00
loop_
_atom_site_label
_atom_site_type_symbol
_atom_site_fract_x
_atom_site_fract_y
_atom_site_fract_z
Na1 Na 0.0000 0.0000 0.0000
Pm1 Pm 0.0000 0.0000 0.5000
Sb1 Sb 0.2500 0.2500 0.2500
Pd1 Pd 0.2500 0.2500 0.7500
# Raw formation energy ... -2.37 eV/f.u.



Record 20
# PBE-GGA NaPmSiPd, relaxed
data_NaPmSiPd
_chemical_formula_sum 'Na4 Pm4 Si4 Pd4'
_symmetry_space_group_name_H-M 'F -4 3 m'
_symmetry_Int_Tables_number 216
_symmetry_space_group_name_Hall 'F -4 2 3'
_cell_length_a 7.0061
_cell_length_b 7.0061
_cell_length_c 7.0061
_cell_angle_alpha 90.00
_cell_angle_beta 90.00
_cell_angle_gamma 90.00
loop_
_atom_site_label
_atom_site_type_symbol
_atom_site_fract_x
_atom_site_fract_y
_atom_site_fract_z
Na1 Na 0.0000 0.0000 0.0000
Pm1 Pm 0.0000 0.0000 0.5000
Si1 Si 0.2500 0.2500 0.2500
Pd1 Pd 0.2500 0.2500 0.7500
# Raw formation energy ... -1.15 eV/f.u.



Record 21
# PBE-GGA NaPmTlPd, relaxed
data_NaPmTlPd
_chemical_formula_sum 'Na4 Pm4 Tl4 Pd4'
_symmetry_space_group_name_H-M 'F -4 3 m'
_symmetry_Int_Tables_number 216
_symmetry_space_group_name_Hall 'F -4 2 3'
_cell_length_a 7.2953
_cell_length_b 7.2953
_cell_length_c 7.2953
_cell_angle_alpha 90.00
_cell_angle_beta 90.00
_cell_angle_gamma 90.00
loop_
_atom_site_label
_atom_site_type_symbol
_atom_site_fract_x
_atom_site_fract_y
_atom_site_fract_z
Na1 Na 0.0000 0.0000 0.0000
Pm1 Pm 0.0000 0.0000 0.5000
Tl1 Tl 0.2500 0.2500 0.2500
Pd1 Pd 0.2500 0.2500 0.7500
# DFT formation energy ... -0.282 eV/atom



Record 22
# PBE-GGA Na2Pr2Pd15, relaxed
data_Na2Pr2Pd15
_chemical_formula_sum 'Na6 Pr6 Pd45'
_symmetry_space_group_name_H-M 'R -3 m'
_symmetry_Int_Tables_number 166
_symmetry_space_group_name_Hall '-R 3 2"'
_cell_length_a 9.2759
_cell_length_b 9.2759
_cell_length_c 13.7330
_cell_angle_alpha 90.00
_cell_angle_beta 90.00
_cell_angle_gamma 120.00
loop_
_atom_site_label
_atom_site_type_symbol
_atom_site_fract_x
_atom_site_fract_y
_atom_site_fract_z
Na1 Na 0.0000 0.0000 0.0919
Pr1 Pr 0.0000 0.0000 0.3474
Pd1 Pd 0.0000 0.3222 0.0000
Pd2 Pd 0.0000 0.5000 0.5000
Pd3 Pd 0.0052 0.5026 0.1611
# DFT formation energy ... -0.365 eV/atom



Record 23
# PBE-GGA NaPr2Pd9, relaxed
data_NaPr2Pd9
_chemical_formula_sum 'Na3 Pr6 Pd27'
_symmetry_space_group_name_H-M 'R -3 m'
_symmetry_Int_Tables_number 166
_symmetry_space_group_name_Hall '-R 3 2"'
_cell_length_a 5.4582
_cell_length_b 5.4582
_cell_length_c 26.8550
_cell_angle_alpha 90.00
_cell_angle_beta 90.00
_cell_angle_gamma 120.00
loop_
_atom_site_label
_atom_site_type_symbol
_atom_site_fract_x
_atom_site_fract_y
_atom_site_fract_z
Na1 Na 0.0000 0.0000 0.0000
Pr1 Pr 0.0000 0.0000 0.1354
Pd1 Pd 0.0000 0.0000 0.3331
Pd2 Pd 0.0000 0.0000 0.5000
Pd3 Pd 0.0034 0.5017 0.9155
# Excess energy over the best structure of this formula in the dataset ... 0.011 eV per atom
# DFT formation energy ... -0.479 eV/atom